## HgPt2Cl (PBE)

Data for a relaxed HgPt2Cl crystal.

Unit cell a=4.8630 b=3.0020 c=4.9564 alpha=90.42 beta=90.00 gamma=90.00
With the nearest neighbours (Å) after each atom.
Sites, in units of the cell vectors:
Hg 0.5000 0.7500 0.7500  4 Pt 2.84, 4 Cl 2.89-2.91, 2 Hg 3.00
Pt 0.0000 0.0149 0.9991  2 Cl 2.82, 2 Hg 2.84, 6 Pt 2.85-3.00
Pt 0.0000 0.4851 0.5009  2 Cl 2.82, 2 Hg 2.84, 6 Pt 2.85-3.00
Cl 0.5000 0.2500 0.2500  4 Pt 2.82, 4 Hg 2.89-2.91, 2 Cl 3.00

Computed properties:
Distance to the lowest polymorph of the same formula   0.213 eV/atom

---

## ZrCr2Te (PBE)

Data for a relaxed ZrCr2Te crystal.

Unit cell a=4.3305 b=3.4139 c=5.2065 alpha=89.86 beta=90.00 gamma=90.00
With the nearest neighbours (Å) after each atom.
Sites, in units of the cell vectors:
Cr 0.0000 0.2509 0.5633  1 Cr 1.94
Cr 0.0000 0.2491 0.9367  1 Cr 1.94
Zr 0.5000 0.7500 0.7500  8 Cr 2.92, 4 Te 3.11-3.12
Te 0.5000 0.2500 0.2500  4 Cr 2.71

---

## Li6CdPb2 (PBE)

Data for a relaxed Li6CdPb2 crystal.

Unit cell a=3.1538 b=8.0283 c=8.6325 alpha=117.71 beta=69.00 gamma=90.00
With the nearest neighbours (Å) after each atom.
Sites, in units of the cell vectors:
Li 0.1660 0.3323 0.3321  3 Li 2.67-2.71
Li 0.8340 0.0002 0.6679  3 Li 2.67-2.71
Li 0.8340 0.6677 0.6679  3 Li 2.67-2.71
Li 0.1660 0.9998 0.3321  3 Li 2.67-2.71
Li 0.5000 0.3311 0.0000  3 Li 2.67-2.71
Li 0.5000 0.6689 0.0000  3 Li 2.67-2.71
Cd 0.0000 0.0000 0.0000  12 Li 3.09-3.12, 2 Cd 3.15
Pb 0.6671 0.6665 0.3330  12 Li 3.11-3.13, 2 Pb 3.15
Pb 0.3329 0.3335 0.6670  12 Li 3.11-3.13, 2 Pb 3.15

Computed properties:
Formation enthalpy at 0 K   -245 meV/atom
Distance to the lowest polymorph of the same formula   0.035 eV/atom

---

## TaTlHgS4 (PBE)

Data for a relaxed TaTlHgS4 crystal.

Unit cell a=6.1555 b=7.5920 c=9.1268 alpha=90.00 beta=102.91 gamma=90.00
With the nearest neighbours (Å) after each atom.
Sites, in units of the cell vectors:
Tl 0.2103 0.2500 0.0871  4 S 3.19-3.47
Tl 0.7897 0.7500 0.9129  4 S 3.19-3.47
Ta 0.8099 0.2500 0.7072  4 S 2.27-2.32
Ta 0.1901 0.7500 0.2928  4 S 2.27-2.32
S 0.5483 0.2500 0.4801  1 Ta 2.32, 1 Hg 2.46
S 0.4517 0.7500 0.5199  1 Ta 2.32, 1 Hg 2.46
S 0.3495 0.7500 0.0911  1 Ta 2.27
S 0.9675 0.9959 0.2792  1 Ta 2.30
S 0.6505 0.2500 0.9089  1 Ta 2.27
S 0.0325 0.0041 0.7208  1 Ta 2.30
S 0.0325 0.4959 0.7208  1 Ta 2.30
S 0.9675 0.5041 0.2792  1 Ta 2.30
Hg 0.7126 0.7500 0.3515  3 S 2.46-2.62
Hg 0.2874 0.2500 0.6485  3 S 2.46-2.62

---

## La3Tm5H12 (PBE)

Data for a relaxed La3Tm5H12 crystal.

Unit cell a=11.5053 b=11.5053 c=11.5053 alpha=109.47 beta=109.47 gamma=109.47
With the nearest neighbours (Å) after each atom.
Sites, in units of the cell vectors:
Tm 0.0000 0.0000 0.0000  6 H 2.19
Tm 0.5000 0.0000 0.0000  6 H 2.19
Tm 0.3750 0.2500 0.1250  4 H 2.18
Tm 0.3750 0.1250 0.7500  4 H 2.18
Tm 0.2500 0.8750 0.1250  4 H 2.18
Tm 0.0000 0.5000 0.5000  6 H 2.19
Tm 0.0000 0.0000 0.5000  6 H 2.19
Tm 0.5000 0.0000 0.5000  6 H 2.19
Tm 0.8750 0.6250 0.7500  4 H 2.18
Tm 0.5000 0.5000 0.0000  6 H 2.19
Tm 0.7500 0.6250 0.3750  4 H 2.18
Tm 0.1250 0.3750 0.2500  4 H 2.18
Tm 0.5000 0.5000 0.5000  6 H 2.19
Tm 0.6250 0.7500 0.8750  4 H 2.18
Tm 0.0000 0.5000 0.0000  6 H 2.19
Tm 0.7500 0.1250 0.8750  4 H 2.18
Tm 0.2500 0.3750 0.6250  4 H 2.18
Tm 0.6250 0.8750 0.2500  4 H 2.18
Tm 0.1250 0.7500 0.3750  4 H 2.18
Tm 0.8750 0.2500 0.6250  4 H 2.18
La 0.2500 0.6250 0.8750  8 H 2.41-2.48
La 0.6250 0.2500 0.3750  8 H 2.41-2.48
La 0.1250 0.8750 0.7500  8 H 2.41-2.48
La 0.8750 0.1250 0.2500  8 H 2.41-2.48
La 0.3750 0.6250 0.2500  8 H 2.41-2.48
La 0.3750 0.7500 0.6250  8 H 2.41-2.48
La 0.6250 0.3750 0.7500  8 H 2.41-2.48
La 0.7500 0.8750 0.6250  8 H 2.41-2.48
La 0.8750 0.7500 0.1250  8 H 2.41-2.48
La 0.1250 0.2500 0.8750  8 H 2.41-2.48
La 0.2500 0.1250 0.3750  8 H 2.41-2.48
La 0.7500 0.3750 0.1250  8 H 2.41-2.48
H 0.5767 0.8610 0.4145  2 Tm 2.18-2.19, 1 La 2.41
H 0.8378 0.9145 0.0535  2 Tm 2.18-2.19, 1 La 2.41
H 0.7157 0.5767 0.1622  2 Tm 2.18-2.19, 1 La 2.41
H 0.1390 0.7157 0.5535  2 Tm 2.18-2.19, 1 La 2.41
H 0.3610 0.4145 0.0767  2 Tm 2.18-2.19, 1 La 2.41
H 0.5535 0.2157 0.1390  2 Tm 2.18-2.19, 1 La 2.41
H 0.4233 0.2843 0.3378  2 Tm 2.18-2.19, 1 La 2.41
H 0.6622 0.2157 0.5767  2 Tm 2.18-2.19, 1 La 2.41
H 0.3378 0.5535 0.4145  2 Tm 2.18-2.19, 1 La 2.41
H 0.5855 0.9465 0.6622  2 Tm 2.18-2.19, 1 La 2.41
H 0.6622 0.4465 0.5855  2 Tm 2.18-2.19, 1 La 2.41
H 0.8378 0.9233 0.2843  2 Tm 2.18-2.19, 1 La 2.41
H 0.9145 0.0767 0.8610  2 Tm 2.18-2.19, 1 La 2.41
H 0.0855 0.1622 0.4465  2 Tm 2.18-2.19, 1 La 2.41
H 0.4233 0.1390 0.5855  2 Tm 2.18-2.19, 1 La 2.41
H 0.1390 0.4233 0.0855  2 Tm 2.18-2.19, 1 La 2.41
H 0.5535 0.3378 0.9145  2 Tm 2.18-2.19, 1 La 2.41
H 0.7157 0.1390 0.0535  2 Tm 2.18-2.19, 1 La 2.41
H 0.6390 0.5855 0.9233  2 Tm 2.18-2.19, 1 La 2.41
H 0.8610 0.5767 0.9145  2 Tm 2.18-2.19, 1 La 2.41
H 0.9145 0.8378 0.5535  2 Tm 2.18-2.19, 1 La 2.41
H 0.8610 0.2843 0.4465  2 Tm 2.18-2.19, 1 La 2.41
H 0.4145 0.3610 0.5767  2 Tm 2.18-2.19, 1 La 2.41
H 0.0767 0.9145 0.3610  2 Tm 2.18-2.19, 1 La 2.41
H 0.0535 0.4145 0.8378  2 Tm 2.18-2.19, 1 La 2.41
H 0.4465 0.6622 0.0855  2 Tm 2.18-2.19, 1 La 2.41
H 0.9465 0.3610 0.2843  2 Tm 2.18-2.19, 1 La 2.41
H 0.9233 0.8378 0.7843  2 Tm 2.18-2.19, 1 La 2.41
H 0.3610 0.9465 0.7843  2 Tm 2.18-2.19, 1 La 2.41
H 0.3378 0.7843 0.4233  2 Tm 2.18-2.19, 1 La 2.41
H 0.2843 0.4233 0.8378  2 Tm 2.18-2.19, 1 La 2.41
H 0.0535 0.6390 0.7157  2 Tm 2.18-2.19, 1 La 2.41
H 0.7843 0.3378 0.9233  2 Tm 2.18-2.19, 1 La 2.41
H 0.5767 0.7157 0.6622  2 Tm 2.18-2.19, 1 La 2.41
H 0.4145 0.0535 0.3378  2 Tm 2.18-2.19, 1 La 2.41
H 0.1622 0.0855 0.9465  2 Tm 2.18-2.19, 1 La 2.41
H 0.2843 0.8610 0.9465  2 Tm 2.18-2.19, 1 La 2.41
H 0.2157 0.6622 0.0767  2 Tm 2.18-2.19, 1 La 2.41
H 0.4465 0.7843 0.8610  2 Tm 2.18-2.19, 1 La 2.41
H 0.9465 0.5855 0.1622  2 Tm 2.18-2.19, 1 La 2.41
H 0.1622 0.0767 0.7157  2 Tm 2.18-2.19, 1 La 2.41
H 0.2157 0.5535 0.6390  2 Tm 2.18-2.19, 1 La 2.41
H 0.0767 0.1622 0.2157  2 Tm 2.18-2.19, 1 La 2.41
H 0.0855 0.9233 0.1390  2 Tm 2.18-2.19, 1 La 2.41
H 0.9233 0.0855 0.6390  2 Tm 2.18-2.19, 1 La 2.41
H 0.5855 0.6390 0.4233  2 Tm 2.18-2.19, 1 La 2.41
H 0.7843 0.4465 0.3610  2 Tm 2.18-2.19, 1 La 2.41
H 0.6390 0.0535 0.2157  2 Tm 2.18-2.19, 1 La 2.41

---

## Tm2ThGe2 (PBE)

Data for a relaxed Tm2ThGe2 crystal.

Unit cell a=7.4655 b=7.4655 c=5.9307 alpha=110.93 beta=110.93 gamma=96.77
With the nearest neighbours (Å) after each atom.
Sites, in units of the cell vectors:
Ge 0.8348 0.6652 0.2500  4 Tm 2.80-2.99, 2 Th 3.01
Ge 0.1652 0.3348 0.7500  4 Tm 2.80-2.99, 2 Th 3.01
Ge 0.6124 0.8876 0.7500  4 Tm 2.88-2.90, 1 Th 2.98
Ge 0.3876 0.1124 0.2500  4 Tm 2.88-2.90, 1 Th 2.98
Tm 0.4292 0.7189 0.0121  4 Ge 2.80-2.99, 1 Tm 3.09
Tm 0.5708 0.2811 0.9879  4 Ge 2.80-2.99, 1 Tm 3.09
Tm 0.7811 0.0708 0.4879  4 Ge 2.80-2.99, 1 Tm 3.09
Tm 0.2189 0.9292 0.5121  4 Ge 2.80-2.99, 1 Tm 3.09
Th 0.1209 0.3791 0.2500  4 Ge 2.98-3.19
Th 0.8791 0.6209 0.7500  4 Ge 2.98-3.19

Computed properties:
Formation enthalpy at 0 K   -411 meV/atom

---

## NaCoPt2 (PBE)

Data for a relaxed NaCoPt2 crystal.

Unit cell a=4.9105 b=4.9105 c=8.8002 alpha=73.80 beta=73.80 gamma=90.00
With the nearest neighbours (Å) after each atom.
Sites, in units of the cell vectors:
Na 0.2500 0.7500 0.5000  4 Pt 3.19, 4 Co 3.47
Na 0.5000 0.5000 0.0000  4 Pt 3.19, 4 Co 3.47
Pt 0.3750 0.1888 0.7500  2 Co 2.39, 2 Pt 2.53
Pt 0.8750 0.0612 0.7500  2 Co 2.39, 2 Pt 2.53
Pt 0.9388 0.6250 0.2500  2 Co 2.39, 2 Pt 2.53
Pt 0.8112 0.1250 0.2500  2 Co 2.39, 2 Pt 2.53
Co 0.7500 0.2500 0.5000  4 Pt 2.39
Co 0.0000 0.0000 0.0000  4 Pt 2.39

Computed properties:
Formation enthalpy at 0 K   465 meV/atom

---

## La2TlCuIr (PBE)

Data for a relaxed La2TlCuIr crystal.

Unit cell a=5.5013 b=5.5013 c=4.8919 alpha=90.00 beta=90.00 gamma=90.00
With the nearest neighbours (Å) after each atom.
Sites, in units of the cell vectors:
Ir 0.0000 0.0000 0.0000  2 Cu 2.45
Cu 0.0000 0.0000 0.5000  2 Ir 2.45
La 0.5000 0.0000 0.0000  2 Ir 2.75
La 0.0000 0.5000 0.0000  2 Ir 2.75
Tl 0.5000 0.5000 0.5000  8 La 3.68, 4 Cu 3.89

Computed properties:
Formation enthalpy at 0 K   -247 meV/atom

---

## ZrTa2SbPt (PBE)

Data for a relaxed ZrTa2SbPt crystal.

Unit cell a=4.9086 b=5.1226 c=4.9086 alpha=90.00 beta=90.00 gamma=90.00
With the nearest neighbours (Å) after each atom.
Sites, in units of the cell vectors:
Zr 0.0000 0.5000 0.0000  2 Pt 2.56
Pt 0.0000 0.0000 0.0000  4 Ta 2.45, 2 Zr 2.56
Ta 0.0000 0.0000 0.5000  2 Pt 2.45
Ta 0.5000 0.0000 0.0000  2 Pt 2.45
Sb 0.5000 0.5000 0.5000  4 Zr 3.47, 8 Ta 3.55

---

## HfNb2Fe (PBE)

Data for a relaxed HfNb2Fe crystal.

Unit cell a=4.5598 b=4.5598 c=4.5598 alpha=60.00 beta=60.00 gamma=60.00
With the nearest neighbours (Å) after each atom.
Sites, in units of the cell vectors:
Nb 0.7500 0.7500 0.7500  4 Fe 2.79, 4 Hf 2.79
Nb 0.2500 0.2500 0.2500  4 Hf 2.79, 4 Fe 2.79
Hf 0.5000 0.5000 0.5000  8 Nb 2.79
Fe 0.0000 0.0000 0.0000  8 Nb 2.79

Computed properties:
Formation enthalpy at 0 K   157 meV/atom
Distance to the lowest polymorph of the same formula   0.234 eV/atom

---

## GePb2Br (PBE)

Data for a relaxed GePb2Br crystal.

Unit cell a=7.0248 b=7.0248 c=8.3599 alpha=65.16 beta=65.16 gamma=90.00
With the nearest neighbours (Å) after each atom.
Sites, in units of the cell vectors:
Pb 0.8750 0.8366 0.7500  2 Ge 2.85, 2 Br 3.16
Pb 0.1634 0.6250 0.2500  2 Ge 2.85, 2 Br 3.16
Pb 0.3750 0.4134 0.7500  2 Ge 2.85, 2 Br 3.16
Pb 0.5866 0.1250 0.2500  2 Ge 2.85, 2 Br 3.16
Br 0.0000 0.0000 0.0000  4 Pb 3.16
Br 0.7500 0.2500 0.5000  4 Pb 3.16
Ge 0.2500 0.7500 0.5000  4 Pb 2.85
Ge 0.5000 0.5000 0.0000  4 Pb 2.85

Computed properties:
Distance to the lowest polymorph of the same formula   0.081 eV/atom

---

## Ac4ZnRh (PBE)

Data for a relaxed Ac4ZnRh crystal.

Unit cell a=6.7952 b=7.5675 c=8.6392 alpha=90.00 beta=108.88 gamma=90.00
With the nearest neighbours (Å) after each atom.
Sites, in units of the cell vectors:
Ac 0.0095 0.9981 0.7319  2 Rh 3.05-3.08, 2 Zn 3.26-3.30
Ac 0.0095 0.5019 0.7319  2 Rh 3.05-3.08, 2 Zn 3.26-3.30
Ac 0.9905 0.0019 0.2681  2 Rh 3.05-3.08, 2 Zn 3.26-3.30
Ac 0.9905 0.4981 0.2681  2 Rh 3.05-3.08, 2 Zn 3.26-3.30
Ac 0.4376 0.7500 0.1249  1 Rh 3.02, 1 Zn 3.27
Ac 0.5527 0.2500 0.4036  1 Rh 2.99, 1 Zn 3.20
Ac 0.5624 0.2500 0.8751  1 Rh 3.02, 1 Zn 3.27
Ac 0.4473 0.7500 0.5964  1 Rh 2.99, 1 Zn 3.20
Rh 0.2132 0.2500 0.5530  6 Ac 2.99-3.08
Rh 0.7868 0.7500 0.4470  6 Ac 2.99-3.08
Zn 0.2032 0.2500 0.0516  6 Ac 3.20-3.30
Zn 0.7968 0.7500 0.9484  6 Ac 3.20-3.30

Computed properties:
Formation enthalpy at 0 K   -308 meV/atom
Distance to the lowest polymorph of the same formula   0.000 eV/atom

---

no.,uncorrected energy (eV/cell),total moment (μB/cell)
1,-12.94,0.00
2,-29.95,0.00
3,-22.02,0.00
4,-69.42,0.00
5,-346.33,0.08
6,-55.30,0.00
7,-37.30,4.01
8,-26.42,0.00
9,-39.18,0.00
10,-37.93,0.00
11,-26.73,0.00
12,-53.81,0.00